[1]
# RbHfBeO4 (GGA-PBE, optimized geometry)
# Density of states at the Fermi level   3.44 states/eV per cell
# Uncorrected formation energy   -2461 meV/atom
# Raw total energy   -103.42 eV per cell
data_RbHfBeO4
_cell_length_a 5.183
_cell_length_b 5.484
_cell_length_c 7.597
_cell_angle_alpha 90.00
_cell_angle_beta 109.84
_cell_angle_gamma 90.00
_space_group_name_H-M_alt 'P 1 21/m 1'
_space_group_IT_number 11
_space_group_name_Hall '-P 2yb'
loop_
_atom_site_label
_atom_site_type_symbol
_atom_site_fract_x
_atom_site_fract_y
_atom_site_fract_z
Rb1 Rb 0.221 0.250 0.443
Hf1 Hf 0.307 0.250 0.963
Be1 Be 0.250 0.750 0.149
O1 O 0.033 0.750 0.935
O2 O 0.045 0.750 0.269
O3 O 0.462 0.523 0.160

***

[2]
# HfBe2ReO (GGA-PBE, optimized geometry)
# Density of states at the Fermi level   1.70 states/eV per cell
# Uncorrected formation energy   -525 meV/atom
# Raw total energy   -37.44 eV per cell
data_HfBe2ReO
_cell_length_a 3.813
_cell_length_b 3.813
_cell_length_c 4.176
_cell_angle_alpha 90.00
_cell_angle_beta 90.00
_cell_angle_gamma 90.00
_space_group_name_H-M_alt 'P 4/m m m'
_space_group_IT_number 123
_space_group_name_Hall '-P 4 2'
loop_
_atom_site_label
_atom_site_type_symbol
_atom_site_fract_x
_atom_site_fract_y
_atom_site_fract_z
Hf1 Hf 0.000 0.000 0.000
Be1 Be 0.000 0.500 0.500
Re1 Re 0.500 0.500 0.000
O1 O 0.000 0.000 0.500

***

[3]
# YHfBeO2 (GGA-PBE, optimized geometry)
# Density of states at the Fermi level   2.78 states/eV per cell
# Uncorrected formation energy   -1527 meV/atom
# Raw total energy   -37.69 eV per cell
data_YHfBeO2
_cell_length_a 4.065
_cell_length_b 4.065
_cell_length_c 5.016
_cell_angle_alpha 90.00
_cell_angle_beta 90.00
_cell_angle_gamma 90.00
_space_group_name_H-M_alt 'P 4/m m m'
_space_group_IT_number 123
_space_group_name_Hall '-P 4 2'
loop_
_atom_site_label
_atom_site_type_symbol
_atom_site_fract_x
_atom_site_fract_y
_atom_site_fract_z
Y1 Y 0.000 0.000 0.000
Hf1 Hf 0.500 0.500 0.500
Be1 Be 0.500 0.500 0.000
O1 O 0.000 0.500 0.500

***

[4]
# Hf2BeOs2 (GGA-PBE, optimized geometry)
# Density of states at the Fermi level   10.51 states/eV per cell
# Raw total energy   -94.18 eV per cell
data_Hf2BeOs2
_cell_length_a 6.217
_cell_length_b 6.217
_cell_length_c 4.318
_cell_angle_alpha 90.00
_cell_angle_beta 90.00
_cell_angle_gamma 90.00
_space_group_name_H-M_alt 'P 4/m b m'
_space_group_IT_number 127
_space_group_name_Hall '-P 4 2ab'
loop_
_atom_site_label
_atom_site_type_symbol
_atom_site_fract_x
_atom_site_fract_y
_atom_site_fract_z
Hf1 Hf 0.176 0.324 0.000
Be1 Be 0.000 0.000 0.500
Os1 Os 0.146 0.646 0.500

***

[5]
# Hf2Be2Os (GGA-PBE, optimized geometry)
# Density of states at the Fermi level   5.84 states/eV per cell
# Raw total energy   -81.13 eV per cell
data_Hf2Be2Os
_cell_length_a 6.478
_cell_length_b 6.478
_cell_length_c 3.445
_cell_angle_alpha 90.00
_cell_angle_beta 90.00
_cell_angle_gamma 90.00
_space_group_name_H-M_alt 'P 4/m b m'
_space_group_IT_number 127
_space_group_name_Hall '-P 4 2ab'
loop_
_atom_site_label
_atom_site_type_symbol
_atom_site_fract_x
_atom_site_fract_y
_atom_site_fract_z
Hf1 Hf 0.181 0.319 0.000
Be1 Be 0.117 0.617 0.500
Os1 Os 0.000 0.000 0.500

***

[6]
# Hf2Be16Os (GGA-PBE, optimized geometry)
# Density of states at the Fermi level   13.31 states/eV per cell
# Raw total energy   -285.57 eV per cell
data_Hf2Be16Os
_cell_length_a 7.6475
_cell_length_b 7.6475
_cell_length_c 11.0347
_cell_angle_alpha 90.00
_cell_angle_beta 90.00
_cell_angle_gamma 120.00
_space_group_name_H-M_alt 'R 3 m'
_space_group_IT_number 160
_space_group_name_Hall 'R 3 -2"'
loop_
_atom_site_label
_atom_site_type_symbol
_atom_site_fract_x
_atom_site_fract_y
_atom_site_fract_z
Hf1 Hf 0.0000 0.0000 0.0000
Hf2 Hf 0.0000 0.0000 0.3159
Be1 Be 0.0000 0.0000 0.5513
Be2 Be 0.0001 0.2857 0.6626
Be3 Be 0.0026 0.5013 0.8171
Be4 Be 0.1672 0.3345 0.4938
Be5 Be 0.1674 0.3348 0.8386
Os1 Os 0.0000 0.0000 0.7551

***

[7]
# HfBe3Os (GGA-PBE, optimized geometry)
# Density of states at the Fermi level   2.42 states/eV per cell
# Energy relative to the lowest polymorph listed for this composition   0 meV per atom
# Raw total energy   -31.21 eV per cell
data_HfBe3Os
_cell_length_a 4.135
_cell_length_b 4.135
_cell_length_c 4.135
_cell_angle_alpha 90.00
_cell_angle_beta 90.00
_cell_angle_gamma 90.00
_space_group_name_H-M_alt 'P m -3 m'
_space_group_IT_number 221
_space_group_name_Hall '-P 4 2 3'
loop_
_atom_site_label
_atom_site_type_symbol
_atom_site_fract_x
_atom_site_fract_y
_atom_site_fract_z
Hf1 Hf 0.000 0.000 0.000
Be1 Be 0.000 0.500 0.500
Os1 Os 0.500 0.500 0.500

***

[8]
# HfBeOs (GGA-PBE, optimized geometry)
# Density of states at the Fermi level   2.41 states/eV per cell
# Energy relative to the lowest polymorph listed for this composition   224 meV per atom
# Raw total energy   -51.69 eV per cell
data_HfBeOs
_cell_length_a 3.163
_cell_length_b 3.163
_cell_length_c 8.867
_cell_angle_alpha 90.00
_cell_angle_beta 90.00
_cell_angle_gamma 90.00
_space_group_name_H-M_alt 'I 4 m m'
_space_group_IT_number 107
_space_group_name_Hall 'I 4 -2'
loop_
_atom_site_label
_atom_site_type_symbol
_atom_site_fract_x
_atom_site_fract_y
_atom_site_fract_z
Hf1 Hf 0.000 0.000 0.000
Be1 Be 0.000 0.000 0.695
Os1 Os 0.000 0.000 0.310

***

Which formula does entry 7 have?
HfBe3Os

***

density of states at the Fermi level of number 1 (RbHfBeO4)?
3.44 states/eV per cell